## one
Entry from Alexandria via LeMat-Bulk: a relaxed structure of Rb2Ag2Sn (PBE).

Volume (Å³/atom): 36.1
Symmetry: I4/mmm (139)

Unit cell a=4.9397 b=4.9397 c=8.1871 alpha=72.44 beta=72.44 gamma=90.00
Sites, in units of the cell vectors:
Ag 0.5891 0.5891 0.8219
Ag 0.4109 0.4109 0.1781
Sn 0.0000 0.0000 0.0000
Rb 0.2500 0.7500 0.5000
Rb 0.7500 0.2500 0.5000


## two
Entry from Alexandria via LeMat-Bulk: a relaxed structure of Rb2Ag2Sn (PBE).

Volume (Å³/atom): 43.2
Symmetry: C2/m (12)

Unit cell a=6.7960 b=8.0984 c=9.4330 alpha=72.24 beta=68.89 gamma=65.19
Sites, in units of the cell vectors:
Ag 0.4706 0.1791 0.8797
Ag 0.8913 0.6473 0.5700
Ag 0.5294 0.8209 0.1203
Ag 0.1087 0.3527 0.4300
Rb 0.6813 0.2031 0.4343
Rb 0.1091 0.6923 0.0896
Rb 0.3187 0.7969 0.5657
Rb 0.8909 0.3077 0.9104
Sn 0.3218 0.1649 0.1915
Sn 0.6782 0.8351 0.8085


The most stable structure shown above is two; the least stable is one.